1.
The following is a DFT calculation (meta-GGA SCAN) of a PBEsol-optimized structure of BaNa2Sr6Al6O2F32.

Calculated values
Space-group type: Cm, No. 8
E_form (uncorrected) (eV/atom): -3.79

Cell and atoms, written as extended XYZ:
```
49
Lattice="8.102 -5.473 0.000 8.102 5.473 0.000 -1.418 0.000 7.060" Properties=species:S:1:pos:R:3 pbc="T T T"
Ba 0.000 0.000 0.000
Na 3.289 0.000 2.512
Na 2.580 0.000 6.005
Sr 5.930 2.250 1.105
Sr 8.741 3.185 3.906
Sr 6.643 0.000 5.184
Sr 5.930 -2.250 1.105
Sr 10.701 0.000 6.049
Sr 8.741 -3.185 3.906
Al 4.632 2.796 4.618
Al 10.063 2.611 0.416
Al 8.690 0.000 2.191
Al 4.632 -2.796 4.618
Al 10.063 -2.611 0.416
Al 14.069 0.000 2.879
O 1.532 0.000 4.004
O 4.989 0.000 0.965
F 4.663 3.967 6.037
F 7.105 4.178 2.281
F 4.641 1.641 3.236
F 6.422 2.592 4.719
F 4.493 1.393 5.787
F 8.834 3.978 6.271
F 8.271 2.778 0.336
F 10.031 3.838 1.746
F 7.536 1.267 2.781
F 8.576 1.414 6.080
F 4.641 -1.641 3.236
F 4.493 -1.393 5.787
F 7.871 0.000 0.584
F 9.865 1.281 1.671
F 10.960 2.416 4.591
F 11.827 2.328 0.457
F 7.536 -1.267 2.781
F 9.393 0.000 3.855
F 6.422 -2.592 4.719
F 12.914 1.283 3.431
F 4.663 -3.967 6.037
F 8.576 -1.414 6.080
F 9.865 -1.281 1.671
F 8.271 -2.778 0.336
F 13.372 0.000 1.217
F 7.105 -4.178 2.281
F 11.827 -2.328 0.457
F 10.960 -2.416 4.591
F 12.914 -1.283 3.431
F 14.937 0.000 4.444
F 8.834 -3.978 6.271
F 10.031 -3.838 1.746
```

***

2.
The following is a DFT calculation (meta-GGA SCAN) of a PBEsol-optimized structure of Tl2PAu.

Calculated values
DFT formation energy (eV per atom): 0.3843
Space-group type: Fm-3m, No. 225
Excess energy over the best structure of this formula in the dataset (meV/atom): 455

Cell and atoms, written as extended XYZ:
```
4
Lattice="0.000 3.520 3.520 3.520 0.000 3.520 3.520 3.520 0.000" Properties=species:S:1:pos:R:3 pbc="T T T"
Tl 1.760 1.760 1.760
Tl 5.280 5.280 5.280
P 0.000 0.000 0.000
Au 3.520 3.520 3.520
```

***

3.
The following is a DFT calculation (meta-GGA SCAN) of a PBEsol-optimized structure of Tl2AgPb.

Calculated values
DFT formation energy (eV per atom): 0.0986
Space-group type: R3m, No. 160

Cell and atoms, written as extended XYZ:
```
4
Lattice="1.702 0.983 10.200 -1.702 0.983 10.200 0.000 -1.966 10.200" Properties=species:S:1:pos:R:3 pbc="T T T"
Tl 0.000 0.000 0.000
Tl 0.000 0.000 7.412
Ag 0.000 0.000 15.364
Pb 0.000 0.000 23.255
```